Record 1
The following is a PBE calculation of a relaxed Pm3Ho2Ge2 crystal, from the Alexandria database.

Results
The density of states at the Fermi level is 0.9475 states/eV per atom. As for the symmetry: No. 12. For the energy of formation from the pure elements, the calculation gives -513 meV/atom. The value obtained for the volume is 198 Å³/cell.

Cell lengths 4.199, 6.375, 8.369 Å; angles 109.19, 90.00, 109.23 degrees
Positions (direct):
Pm (0.500, 0.000, 0.000)
Pm (0.629, 0.257, 0.439)
Pm (0.371, 0.743, 0.561)
Ho (0.849, 0.697, 0.196)
Ho (0.151, 0.303, 0.804)
Ge (0.822, 0.644, 0.805)
Ge (0.178, 0.356, 0.195)


Record 2
The following is a PBE calculation of a relaxed NpPaMnNi crystal, from the Alexandria database.

Results
The density of states at the Fermi level is 0.9757 states/eV per atom. As for the symmetry: No. 216. For the energy of formation from the pure elements, the calculation gives -108 meV/atom. The value obtained for the volume is 66 Å³/cell.

Cell lengths 4.537, 4.537, 4.537 Å; angles 60.00, 60.00, 60.00 degrees
Positions (direct):
Np (0.500, 0.500, 0.500)
Ni (0.250, 0.250, 0.250)
Pa (0.750, 0.750, 0.750)
Mn (0.000, 0.000, 0.000)


Record 3
The following is a PBE calculation of a relaxed LiTmGa4Ni2 crystal, from the Alexandria database.

Results
The density of states at the Fermi level is 0.4226 states/eV per atom. As for the symmetry: No. 166. For the energy of formation from the pure elements, the calculation gives -456 meV/atom. The value obtained for the volume is 123 Å³/cell.

Cell lengths 4.114, 4.114, 8.730 Å; angles 76.37, 76.37, 60.00 degrees
Positions (direct):
Li (0.500, 0.500, 0.500)
Tm (0.000, 0.000, 0.000)
Ga (0.401, 0.401, 0.798)
Ga (0.871, 0.871, 0.387)
Ga (0.129, 0.129, 0.613)
Ga (0.599, 0.599, 0.202)
Ni (0.766, 0.766, 0.703)
Ni (0.234, 0.234, 0.297)


Record 4
The following is a PBE calculation of a relaxed Li3PmTh2Te6 crystal, from the Alexandria database.

Results
The density of states at the Fermi level is 0.4312 states/eV per atom. As for the symmetry: No. 12. The uncorrected formation energy comes out at -1.155 eV/atom. The value obtained for the volume is 355 Å³/cell.

Cell lengths 7.526, 7.526, 7.660 Å; angles 99.42, 99.42, 120.00 degrees
Positions (direct):
Li (0.166, 0.834, 0.500)
Li (0.834, 0.166, 0.500)
Li (0.500, 0.500, 0.500)
Pm (0.000, 0.000, 0.000)
Th (0.333, 0.667, 0.000)
Th (0.667, 0.333, 0.000)
Te (0.911, 0.576, 0.732)
Te (0.755, 0.755, 0.268)
Te (0.089, 0.424, 0.268)
Te (0.576, 0.911, 0.732)
Te (0.245, 0.245, 0.732)
Te (0.424, 0.089, 0.268)


Record 5
The following is a PBE calculation of a relaxed Ga2Pt2Pb crystal, from the Alexandria database.

Results
The calculation puts the energy relative to the lowest polymorph listed for this composition at 0.47 eV per formula unit. The density of states at the Fermi level is 0.7209 states/eV per atom. As for the symmetry: No. 127. For the energy of formation from the pure elements, the calculation gives -355 meV/atom. The value obtained for the volume is 182 Å³/cell.

Cell lengths 7.924, 7.924, 2.893 Å; angles 90.00, 90.00, 90.00 degrees
Positions (direct):
Pb (0.000, 0.000, 0.000)
Pb (0.500, 0.500, 0.000)
Ga (0.147, 0.647, 0.500)
Ga (0.647, 0.853, 0.500)
Ga (0.853, 0.353, 0.500)
Ga (0.353, 0.147, 0.500)
Pt (0.355, 0.855, 0.000)
Pt (0.855, 0.645, 0.000)
Pt (0.645, 0.145, 0.000)
Pt (0.145, 0.355, 0.000)


Record 6
The following is a PBE calculation of a relaxed TlFeC2 crystal, from the Alexandria database.

Results
The calculation puts the energy relative to the lowest polymorph listed for this composition at 5.87 eV per formula unit. The density of states at the Fermi level is 0.9125 states/eV per atom. As for the symmetry: No. 225. For the energy of formation from the pure elements, the calculation gives 2430 meV/atom. The value obtained for the volume is 46 Å³/cell.

Cell lengths 4.009, 4.009, 4.009 Å; angles 60.00, 60.00, 60.00 degrees
Positions (direct):
C (0.250, 0.250, 0.250)
C (0.750, 0.750, 0.750)
Tl (0.500, 0.500, 0.500)
Fe (0.000, 0.000, 0.000)


Record 7
The following is a PBE calculation of a relaxed LiBi4Ir crystal, from the Alexandria database.

Results
The density of states at the Fermi level is 0.4900 states/eV per atom. As for the symmetry: No. 140. For the energy of formation from the pure elements, the calculation gives -68 meV/atom. The value obtained for the volume is 308 Å³/cell.

Cell lengths 6.788, 6.788, 8.225 Å; angles 114.37, 114.37, 90.00 degrees
Positions (direct):
Li (0.500, 0.500, 0.000)
Li (0.000, 0.000, 0.000)
Bi (0.467, 0.967, 0.273)
Bi (0.967, 0.806, 0.273)
Bi (0.306, 0.467, 0.273)
Bi (0.694, 0.533, 0.727)
Bi (0.033, 0.194, 0.727)
Bi (0.533, 0.033, 0.727)
Bi (0.194, 0.694, 0.727)
Bi (0.806, 0.306, 0.273)
Ir (0.250, 0.250, 0.500)
Ir (0.750, 0.750, 0.500)


Record 8
The following is a PBE calculation of a relaxed NpAuN crystal, from the Alexandria database.

Results
The calculation puts the energy relative to the lowest polymorph listed for this composition at 1.24 eV per formula unit. The density of states at the Fermi level is 1.5722 states/eV per atom. As for the symmetry: No. 107. The uncorrected formation energy comes out at -0.383 eV/atom. The value obtained for the volume is 55 Å³/cell.

Cell lengths 3.122, 3.122, 6.076 Å; angles 104.88, 104.88, 90.00 degrees
Positions (direct):
Np (0.720, 0.720, 0.441)
Au (0.010, 0.010, 0.019)
N (0.270, 0.270, 0.540)